(1)
# GGA-PBE Lu2MgPb, relaxed
# magnetic moment	0.00	μB/f.u.
# total energy	-3.501	eV per atom
# energy relative to the elements	0.3	eV/f.u.
# D(E_F)	12.6	states/eV/cell
data_Lu2MgPb
_symmetry_space_group_name_H-M 'R -3 m'
_symmetry_Int_Tables_number 166
_symmetry_space_group_name_Hall '-R 3 2"'
_cell_length_a 3.4463
_cell_length_b 3.4463
_cell_length_c 34.3221
_cell_angle_alpha 90.00
_cell_angle_beta 90.00
_cell_angle_gamma 120.00
loop_
_atom_site_label
_atom_site_type_symbol
_atom_site_fract_x
_atom_site_fract_y
_atom_site_fract_z
_atom_site_occupancy
Lu1 Lu 0.0000 0.0000 0.0914 1
Mg1 Mg 0.0000 0.0000 0.5000 1
Pb1 Pb 0.0000 0.0000 0.0000 1


(2)
# GGA-PBE LiGeSb, relaxed
# magnetic moment	0.00	μB/f.u.
# total energy	-3.637	eV per atom
# raw formation energy	-86	meV per atom
# energy relative to the lowest polymorph listed for this composition	26	meV per atom
# D(E_F)	2.2	states/eV/cell
data_LiGeSb
_symmetry_space_group_name_H-M 'I 4 m m'
_symmetry_Int_Tables_number 107
_symmetry_space_group_name_Hall 'I 4 -2'
_cell_length_a 3.769
_cell_length_b 3.769
_cell_length_c 9.269
_cell_angle_alpha 90.00
_cell_angle_beta 90.00
_cell_angle_gamma 90.00
loop_
_atom_site_label
_atom_site_type_symbol
_atom_site_fract_x
_atom_site_fract_y
_atom_site_fract_z
_atom_site_occupancy
Li1 Li 0.000 0.000 0.000 1
Ge1 Ge 0.000 0.000 0.684 1
Sb1 Sb 0.000 0.000 0.317 1


(3)
# GGA-PBE Tb4Pr3Nd5, relaxed
# magnetic moment	0.00	μB/f.u.
# total energy	-4.514	eV per atom
# energy relative to the elements	2.5	eV/f.u.
# energy relative to the lowest polymorph listed for this composition	198	meV per atom
# D(E_F)	39.1	states/eV/cell
data_Tb4Pr3Nd5
_symmetry_space_group_name_H-M 'C 1 2/m 1'
_symmetry_Int_Tables_number 12
_symmetry_space_group_name_Hall '-C 2y'
_cell_length_a 16.360
_cell_length_b 6.070
_cell_length_c 9.420
_cell_angle_alpha 90.00
_cell_angle_beta 115.95
_cell_angle_gamma 90.00
loop_
_atom_site_label
_atom_site_type_symbol
_atom_site_fract_x
_atom_site_fract_y
_atom_site_fract_z
_atom_site_occupancy
Tb1 Tb 0.082 0.000 0.442 1
Tb2 Tb 0.211 0.000 0.876 1
Pr1 Pr 0.000 0.500 0.000 1
Pr2 Pr 0.208 0.000 0.227 1
Nd1 Nd 0.000 0.000 0.000 1
Nd2 Nd 0.075 0.500 0.698 1
Nd3 Nd 0.173 0.500 0.387 1